Entry 1:
Density functional theory data (GGA-PBE) for a relaxed structure of ScTi2C2.

Relative energy among the computed polymorphs: 714 meV/atom
Total magnetization: 1.361 μB per formula unit
Energy: -77.13 eV/cell
Formation energy from the elements: 0.401 eV per atom

Geometry as CIF:
```
data_ScTi2C2
_cell_length_a 6.4358
_cell_length_b 6.4358
_cell_length_c 2.7860
_cell_angle_alpha 90.00
_cell_angle_beta 90.00
_cell_angle_gamma 90.00
_symmetry_space_group_name_H-M 'P 4/m b m'
_symmetry_Int_Tables_number 127
_symmetry_space_group_name_Hall '-P 4 2ab'
loop_
_atom_site_label
_atom_site_type_symbol
_atom_site_fract_x
_atom_site_fract_y
_atom_site_fract_z
_atom_site_occupancy
Sc1 Sc 0.0000 0.0000 0.0000 1
Ti1 Ti 0.1325 0.3675 0.0000 1
C1 C 0.1695 0.6695 0.5000 1
```


Entry 2:
Density functional theory data (GGA-PBE) for a relaxed structure of Sc3TiC.

Relative energy among the computed polymorphs: 1821 meV/atom
Total magnetization: 0.000 μB per formula unit
Energy: -27.39 eV/cell
Formation energy from the elements: 1.745 eV per atom

Geometry as CIF:
```
data_Sc3TiC
_cell_length_a 4.8102
_cell_length_b 4.8102
_cell_length_c 4.8102
_cell_angle_alpha 90.00
_cell_angle_beta 90.00
_cell_angle_gamma 90.00
_symmetry_space_group_name_H-M 'P m -3 m'
_symmetry_Int_Tables_number 221
_symmetry_space_group_name_Hall '-P 4 2 3'
loop_
_atom_site_label
_atom_site_type_symbol
_atom_site_fract_x
_atom_site_fract_y
_atom_site_fract_z
_atom_site_occupancy
Sc1 Sc 0.0000 0.0000 0.5000 1
Ti1 Ti 0.0000 0.0000 0.0000 1
C1 C 0.5000 0.5000 0.5000 1
```


Entry 3:
Density functional theory data (GGA-PBE) for a relaxed structure of ScTi2TlC.

Total magnetization: 0.000 μB per formula unit
Energy: -36.07 eV/cell
Formation energy from the elements: -0.472 eV per atom

Geometry as CIF:
```
data_ScTi2TlC
_cell_length_a 4.2856
_cell_length_b 4.2856
_cell_length_c 4.5029
_cell_angle_alpha 90.00
_cell_angle_beta 90.00
_cell_angle_gamma 90.00
_symmetry_space_group_name_H-M 'P 4/m m m'
_symmetry_Int_Tables_number 123
_symmetry_space_group_name_Hall '-P 4 2'
loop_
_atom_site_label
_atom_site_type_symbol
_atom_site_fract_x
_atom_site_fract_y
_atom_site_fract_z
_atom_site_occupancy
Sc1 Sc 0.0000 0.0000 0.0000 1
Ti1 Ti 0.0000 0.5000 0.5000 1
Tl1 Tl 0.5000 0.5000 0.0000 1
C1 C 0.0000 0.0000 0.5000 1
```


Entry 4:
Density functional theory data (GGA-PBE) for a relaxed structure of Sc2TiZnC.

Total magnetization: 0.000 μB per formula unit
Energy: -33.19 eV/cell
Formation energy from the elements: -0.426 eV per atom

Geometry as CIF:
```
data_Sc2TiZnC
_cell_length_a 4.4926
_cell_length_b 4.4926
_cell_length_c 4.1989
_cell_angle_alpha 90.00
_cell_angle_beta 90.00
_cell_angle_gamma 90.00
_symmetry_space_group_name_H-M 'P 4/m m m'
_symmetry_Int_Tables_number 123
_symmetry_space_group_name_Hall '-P 4 2'
loop_
_atom_site_label
_atom_site_type_symbol
_atom_site_fract_x
_atom_site_fract_y
_atom_site_fract_z
_atom_site_occupancy
Sc1 Sc 0.0000 0.5000 0.0000 1
Ti1 Ti 0.0000 0.0000 0.5000 1
Zn1 Zn 0.5000 0.5000 0.5000 1
C1 C 0.0000 0.0000 0.0000 1
```


Question: Which value of energy does entry 3 give?
Answer: -36.07 eV/cell